(1)
## AcAsHPd3 (PBE-GGA)

Data for crystalline AcAsHPd3 at its relaxed geometry.

Cell and atoms, written as extended XYZ:
```
12
Lattice="-2.3938 -5.1526 1.7590 5.6832 -2.7926 -0.4459 -1.7727 2.7201 5.5556" Properties=species:S:1:pos:R:3 pbc="T T T"
Pd 1.7393 -4.4024 4.5539
Pd 1.2715 -0.6248 -0.0998
As 1.2685 -4.9855 2.2051
Pd 0.0746 -3.2011 0.7797
H -0.5828 -1.2688 0.5178
Pd 3.2148 -4.7441 0.5333
Ac 2.7503 -2.0564 2.7468
Pd 4.4117 -2.1678 -0.3462
Pd -0.2226 -0.8227 2.3147
H 2.0995 -3.9563 6.3508
Ac -1.2336 -3.1687 4.1218
As 0.2482 -0.2396 4.6635
```

Values from the calculation:
- VASP energy: -5.28 eV/atom
- Space-group type: Cmcm, No. 63
- Density of states at the Fermi level: 4.80 states/eV/cell
- Magnetic moment: 0.0 μB/cell

(2)
## Ac2AsHPd6 (PBE-GGA)

Data for crystalline Ac2AsHPd6 at its relaxed geometry.

Cell and atoms, written as extended XYZ:
```
10
Lattice="-4.9215 -0.0768 3.3444 -2.3237 -5.5822 -3.6015 -1.9349 -6.3453 2.2820" Properties=species:S:1:pos:R:3 pbc="T T T"
H -3.6226 -2.8295 -0.1286
Ac -3.9202 -7.0251 -0.6736
Pd -4.2974 -1.8480 1.5466
Pd -6.4279 -7.8083 0.9167
Ac -5.2599 -4.9790 2.6985
Pd -1.8575 -1.7969 -0.1059
As 0.0000 0.0000 0.0000
Pd -2.7522 -4.1959 1.1082
Pd -7.3225 -10.2073 2.1308
Pd -4.8827 -10.1562 0.4783
```

Values from the calculation:
- VASP energy: -5.43 eV/atom
- Space-group type: P-1, No. 2
- Density of states at the Fermi level: 4.94 states/eV/cell
- Magnetic moment: 0.0 μB/cell

> magnetic moment of number 2 (Ac2AsHPd6)?

0.0 μB/cell

> Number 1 is which compound?

AcAsHPd3